Entry 1:
First-principles (PBE-GGA) data for a relaxed structure of H10OsC2S2N4Cl6, as listed in OQMD via LeMat-Bulk.

a = 7.142 Å, b = 7.209 Å, c = 7.913 Å
α = 78.71°, β = 87.36°, γ = 64.12°
Positions (direct):
H: 0.032 0.229 0.151
H: 0.087 0.175 0.943
H: 0.252 0.974 0.393
H: 0.334 0.911 0.854
H: 0.455 0.743 0.348
H: 0.545 0.257 0.652
H: 0.666 0.089 0.146
H: 0.748 0.026 0.607
H: 0.913 0.825 0.057
H: 0.968 0.771 0.849
Os: 0.000 0.500 0.500
C: 0.278 0.946 0.137
C: 0.722 0.054 0.863
S: 0.430 0.775 0.004
S: 0.570 0.225 0.996
N: 0.116 0.126 0.073
N: 0.331 0.885 0.304
N: 0.669 0.115 0.696
N: 0.884 0.874 0.927
Cl: 0.156 0.137 0.621
Cl: 0.226 0.560 0.667
Cl: 0.233 0.444 0.280
Cl: 0.767 0.556 0.720
Cl: 0.774 0.440 0.333
Cl: 0.844 0.863 0.379

Calculated values
Total magnetization (μB/cell): 2.001
Raw total energy (eV/atom): -5.001
ρ (Mg/m³): 2.58



Entry 2:
First-principles (PBE-GGA) data for a relaxed structure of H7PdC6N2Cl, as listed in OQMD via LeMat-Bulk.

a = 4.482 Å, b = 17.241 Å, c = 9.240 Å
α = 90.00°, β = 94.77°, γ = 90.00°
Positions (direct):
H: 0.091 0.233 0.489
H: 0.091 0.267 0.989
H: 0.143 0.091 0.221
H: 0.143 0.409 0.721
H: 0.150 0.183 0.692
H: 0.150 0.317 0.192
H: 0.174 0.732 0.629
H: 0.174 0.768 0.129
H: 0.226 0.733 0.452
H: 0.226 0.767 0.952
H: 0.262 0.528 0.437
H: 0.262 0.972 0.937
H: 0.393 0.111 0.896
H: 0.393 0.389 0.396
H: 0.607 0.611 0.604
H: 0.607 0.889 0.104
H: 0.738 0.028 0.063
H: 0.738 0.472 0.563
H: 0.774 0.233 0.048
H: 0.774 0.267 0.548
H: 0.826 0.232 0.871
H: 0.826 0.268 0.371
H: 0.850 0.683 0.808
H: 0.850 0.817 0.308
H: 0.857 0.591 0.279
H: 0.857 0.909 0.779
H: 0.909 0.733 0.011
H: 0.909 0.767 0.511
Pd: 0.352 0.631 0.063
Pd: 0.352 0.869 0.563
Pd: 0.648 0.131 0.437
Pd: 0.648 0.369 0.937
C: 0.076 0.124 0.709
C: 0.076 0.376 0.209
C: 0.077 0.031 0.240
C: 0.077 0.469 0.740
C: 0.146 0.005 0.849
C: 0.146 0.495 0.349
C: 0.147 0.589 0.884
C: 0.147 0.911 0.384
C: 0.220 0.082 0.825
C: 0.220 0.418 0.325
C: 0.226 0.511 0.855
C: 0.226 0.989 0.355
C: 0.774 0.011 0.645
C: 0.774 0.489 0.145
C: 0.780 0.582 0.675
C: 0.780 0.918 0.175
C: 0.853 0.089 0.616
C: 0.853 0.411 0.116
C: 0.854 0.505 0.651
C: 0.854 0.995 0.151
C: 0.923 0.531 0.260
C: 0.923 0.969 0.760
C: 0.924 0.624 0.791
C: 0.924 0.876 0.291
N: 0.136 0.737 0.035
N: 0.136 0.763 0.535
N: 0.450 0.023 0.447
N: 0.450 0.477 0.947
N: 0.550 0.523 0.053
N: 0.550 0.977 0.553
N: 0.864 0.237 0.465
N: 0.864 0.263 0.965
Cl: 0.454 0.192 0.206
Cl: 0.454 0.308 0.706
Cl: 0.546 0.692 0.294
Cl: 0.546 0.808 0.794

Calculated values
Raw total energy (eV/atom): -6.114
ρ (Mg/m³): 2.32



Entry 3:
First-principles (PBE-GGA) data for a relaxed structure of H10PdC10SN2Cl2, as listed in OQMD via LeMat-Bulk.

a = 9.415 Å, b = 9.172 Å, c = 16.728 Å
α = 90.00°, β = 119.81°, γ = 90.00°
Positions (direct):
H: 0.012 0.188 0.284
H: 0.012 0.312 0.784
H: 0.038 0.045 0.897
H: 0.038 0.455 0.397
H: 0.064 0.520 0.197
H: 0.064 0.980 0.697
H: 0.070 0.198 0.028
H: 0.070 0.302 0.528
H: 0.117 0.054 0.592
H: 0.117 0.446 0.092
H: 0.142 0.586 0.312
H: 0.142 0.914 0.812
H: 0.261 0.673 0.644
H: 0.261 0.827 0.144
H: 0.307 0.041 0.052
H: 0.307 0.459 0.552
H: 0.405 0.541 0.186
H: 0.405 0.959 0.686
H: 0.412 0.636 0.359
H: 0.412 0.864 0.859
H: 0.588 0.136 0.141
H: 0.588 0.364 0.641
H: 0.595 0.041 0.314
H: 0.595 0.459 0.814
H: 0.693 0.541 0.448
H: 0.693 0.959 0.948
H: 0.739 0.173 0.856
H: 0.739 0.327 0.356
H: 0.858 0.086 0.188
H: 0.858 0.414 0.688
H: 0.883 0.554 0.908
H: 0.883 0.946 0.408
H: 0.930 0.698 0.472
H: 0.930 0.802 0.972
H: 0.936 0.020 0.303
H: 0.936 0.480 0.803
H: 0.962 0.545 0.603
H: 0.962 0.955 0.103
H: 0.988 0.688 0.216
H: 0.988 0.812 0.716
Pd: 0.455 0.663 0.029
Pd: 0.455 0.837 0.529
Pd: 0.545 0.163 0.471
Pd: 0.545 0.337 0.971
C: 0.034 0.579 0.244
C: 0.034 0.921 0.744
C: 0.075 0.557 0.667
C: 0.075 0.943 0.167
C: 0.195 0.238 0.067
C: 0.195 0.262 0.567
C: 0.221 0.620 0.688
C: 0.221 0.880 0.188
C: 0.222 0.121 0.604
C: 0.222 0.379 0.104
C: 0.246 0.527 0.818
C: 0.246 0.973 0.318
C: 0.326 0.151 0.080
C: 0.326 0.349 0.580
C: 0.380 0.067 0.655
C: 0.380 0.433 0.155
C: 0.485 0.204 0.131
C: 0.485 0.296 0.631
C: 0.490 0.656 0.832
C: 0.490 0.844 0.332
C: 0.510 0.156 0.668
C: 0.510 0.344 0.168
C: 0.515 0.704 0.369
C: 0.515 0.796 0.869
C: 0.620 0.567 0.845
C: 0.620 0.933 0.345
C: 0.674 0.651 0.420
C: 0.674 0.849 0.920
C: 0.754 0.027 0.682
C: 0.754 0.473 0.182
C: 0.778 0.621 0.896
C: 0.778 0.879 0.396
C: 0.779 0.120 0.812
C: 0.779 0.380 0.312
C: 0.805 0.738 0.433
C: 0.805 0.762 0.933
C: 0.925 0.057 0.833
C: 0.925 0.443 0.333
C: 0.966 0.079 0.256
C: 0.966 0.421 0.756
S: 0.311 0.028 0.430
S: 0.311 0.472 0.930
S: 0.689 0.528 0.070
S: 0.689 0.972 0.570
N: 0.092 0.501 0.748
N: 0.092 0.999 0.248
N: 0.325 0.601 0.781
N: 0.325 0.899 0.281
N: 0.675 0.101 0.719
N: 0.675 0.399 0.219
N: 0.908 0.001 0.752
N: 0.908 0.499 0.252
Cl: 0.208 0.711 0.476
Cl: 0.208 0.789 0.976
Cl: 0.387 0.171 0.855
Cl: 0.387 0.329 0.355
Cl: 0.613 0.671 0.645
Cl: 0.613 0.829 0.145
Cl: 0.792 0.211 0.024
Cl: 0.792 0.289 0.524

Calculated values
Raw total energy (eV/atom): -6.084
ρ (Mg/m³): 1.95



Entry 4:
First-principles (PBE-GGA) data for a relaxed structure of H20PdC20S2N4Cl2, as listed in OQMD via LeMat-Bulk.

a = 9.935 Å, b = 9.935 Å, c = 16.757 Å
α = 107.45°, β = 107.45°, γ = 42.45°
Positions (direct):
H: 0.009 0.019 0.074
H: 0.015 0.784 0.143
H: 0.019 0.009 0.574
H: 0.040 0.375 0.729
H: 0.046 0.655 0.981
H: 0.053 0.055 0.686
H: 0.055 0.053 0.186
H: 0.110 0.333 0.352
H: 0.148 0.733 0.870
H: 0.165 0.306 0.517
H: 0.216 0.985 0.357
H: 0.219 0.428 0.855
H: 0.267 0.852 0.630
H: 0.306 0.165 0.017
H: 0.308 0.449 0.268
H: 0.333 0.110 0.852
H: 0.345 0.954 0.519
H: 0.375 0.040 0.229
H: 0.428 0.219 0.355
H: 0.449 0.308 0.768
H: 0.551 0.692 0.232
H: 0.572 0.781 0.645
H: 0.625 0.960 0.771
H: 0.655 0.046 0.481
H: 0.667 0.890 0.148
H: 0.692 0.551 0.732
H: 0.694 0.835 0.983
H: 0.733 0.148 0.370
H: 0.781 0.572 0.145
H: 0.784 0.015 0.643
H: 0.835 0.694 0.483
H: 0.852 0.267 0.130
H: 0.890 0.667 0.648
H: 0.945 0.947 0.814
H: 0.947 0.945 0.314
H: 0.954 0.345 0.019
H: 0.960 0.625 0.271
H: 0.981 0.991 0.426
H: 0.985 0.216 0.857
H: 0.991 0.981 0.926
Pd: 0.500 0.500 0.000
Pd: 0.500 0.500 0.500
C: 0.020 0.310 0.356
C: 0.032 0.366 0.074
C: 0.034 0.525 0.215
C: 0.062 0.890 0.868
C: 0.064 0.506 0.855
C: 0.071 0.141 0.358
C: 0.110 0.938 0.632
C: 0.141 0.071 0.858
C: 0.229 0.266 0.072
C: 0.230 0.426 0.213
C: 0.262 0.599 0.638
C: 0.266 0.229 0.572
C: 0.296 0.325 0.642
C: 0.310 0.020 0.856
C: 0.325 0.296 0.142
C: 0.366 0.032 0.574
C: 0.401 0.738 0.862
C: 0.426 0.230 0.713
C: 0.475 0.966 0.285
C: 0.494 0.936 0.645
C: 0.506 0.064 0.355
C: 0.525 0.034 0.715
C: 0.574 0.770 0.287
C: 0.599 0.262 0.138
C: 0.634 0.968 0.426
C: 0.675 0.704 0.858
C: 0.690 0.980 0.144
C: 0.704 0.675 0.358
C: 0.734 0.771 0.428
C: 0.738 0.401 0.362
C: 0.770 0.574 0.787
C: 0.771 0.734 0.928
C: 0.859 0.929 0.142
C: 0.890 0.062 0.368
C: 0.929 0.859 0.642
C: 0.936 0.494 0.145
C: 0.938 0.110 0.132
C: 0.966 0.475 0.785
C: 0.968 0.634 0.926
C: 0.980 0.690 0.644
S: 0.455 0.507 0.131
S: 0.493 0.545 0.369
S: 0.507 0.455 0.631
S: 0.545 0.493 0.869
N: 0.103 0.802 0.639
N: 0.185 0.531 0.642
N: 0.198 0.897 0.861
N: 0.469 0.815 0.858
N: 0.531 0.185 0.142
N: 0.802 0.103 0.139
N: 0.815 0.469 0.358
N: 0.897 0.198 0.361
Cl: 0.200 0.589 0.442
Cl: 0.411 0.800 0.058
Cl: 0.589 0.200 0.942
Cl: 0.800 0.411 0.558

Calculated values
Raw total energy (eV/atom): -6.237
ρ (Mg/m³): 1.75



Entry 5:
First-principles (PBE-GGA) data for a relaxed structure of PuH10C10N2Cl6, as listed in OQMD via LeMat-Bulk.

a = 8.212 Å, b = 8.212 Å, c = 6.977 Å
α = 98.31°, β = 98.31°, γ = 69.77°
Positions (direct):
Pu: 0.000 0.000 0.000
H: 0.070 0.513 0.727
H: 0.208 0.672 0.562
H: 0.226 0.226 0.794
H: 0.328 0.792 0.438
H: 0.487 0.930 0.273
H: 0.513 0.070 0.727
H: 0.672 0.208 0.562
H: 0.774 0.774 0.206
H: 0.792 0.328 0.438
H: 0.930 0.487 0.273
C: 0.203 0.454 0.686
C: 0.283 0.539 0.594
C: 0.454 0.203 0.686
C: 0.455 0.455 0.548
C: 0.461 0.717 0.406
C: 0.539 0.283 0.594
C: 0.545 0.545 0.452
C: 0.546 0.797 0.314
C: 0.717 0.461 0.406
C: 0.797 0.546 0.314
N: 0.290 0.290 0.730
N: 0.710 0.710 0.270
Cl: 0.081 0.695 0.126
Cl: 0.122 0.122 0.330
Cl: 0.305 0.919 0.874
Cl: 0.695 0.081 0.126
Cl: 0.878 0.878 0.670
Cl: 0.919 0.305 0.874

Calculated values
Total magnetization (μB/cell): 3.997
Raw total energy (eV/atom): -6.227
ρ (Mg/m³): 2.35



Entry 6:
First-principles (PBE-GGA) data for a relaxed structure of PuH16C12N2Cl6, as listed in OQMD via LeMat-Bulk.

a = 7.813 Å, b = 12.226 Å, c = 11.739 Å
α = 90.00°, β = 120.32°, γ = 90.00°
Positions (direct):
Pu: 0.000 0.000 0.000
Pu: 0.000 0.500 0.500
H: 0.141 0.169 0.471
H: 0.141 0.331 0.971
H: 0.158 0.164 0.692
H: 0.158 0.336 0.192
H: 0.257 0.005 0.401
H: 0.257 0.495 0.901
H: 0.281 0.009 0.821
H: 0.281 0.491 0.321
H: 0.347 0.741 0.548
H: 0.347 0.759 0.048
H: 0.394 0.650 0.268
H: 0.394 0.850 0.768
H: 0.405 0.675 0.947
H: 0.405 0.825 0.447
H: 0.419 0.194 0.381
H: 0.419 0.306 0.881
H: 0.581 0.694 0.119
H: 0.581 0.806 0.619
H: 0.595 0.175 0.553
H: 0.595 0.325 0.053
H: 0.606 0.150 0.232
H: 0.606 0.350 0.732
H: 0.653 0.241 0.952
H: 0.653 0.259 0.452
H: 0.719 0.509 0.679
H: 0.719 0.991 0.179
H: 0.743 0.505 0.099
H: 0.743 0.995 0.599
H: 0.842 0.664 0.808
H: 0.842 0.836 0.308
H: 0.859 0.669 0.029
H: 0.859 0.831 0.529
C: 0.198 0.097 0.534
C: 0.198 0.403 0.034
C: 0.206 0.096 0.654
C: 0.206 0.404 0.154
C: 0.264 0.005 0.496
C: 0.264 0.495 0.996
C: 0.341 0.583 0.198
C: 0.341 0.586 0.079
C: 0.341 0.914 0.579
C: 0.341 0.917 0.698
C: 0.422 0.684 0.046
C: 0.422 0.816 0.546
C: 0.578 0.184 0.454
C: 0.578 0.316 0.954
C: 0.659 0.083 0.302
C: 0.659 0.086 0.421
C: 0.659 0.414 0.921
C: 0.659 0.417 0.802
C: 0.736 0.505 0.004
C: 0.736 0.995 0.504
C: 0.794 0.596 0.846
C: 0.794 0.904 0.346
C: 0.802 0.597 0.966
C: 0.802 0.903 0.466
N: 0.275 0.006 0.731
N: 0.275 0.494 0.231
N: 0.725 0.506 0.769
N: 0.725 0.994 0.269
Cl: 0.010 0.141 0.169
Cl: 0.010 0.359 0.669
Cl: 0.255 0.617 0.694
Cl: 0.255 0.883 0.194
Cl: 0.282 0.103 0.984
Cl: 0.282 0.397 0.484
Cl: 0.718 0.603 0.516
Cl: 0.718 0.897 0.016
Cl: 0.745 0.117 0.806
Cl: 0.745 0.383 0.306
Cl: 0.990 0.641 0.331
Cl: 0.990 0.859 0.831

Calculated values
Total magnetization (μB/cell): 7.995
Raw total energy (eV/atom): -5.982
ρ (Mg/m³): 2.21